w | NdSmMgHg (PBE, optimized geometry); SG = P4mm, No. 99; magnetic moment = 0.000 μB per atom
1.0
-2.274 1.542 2.698
-3.014 -1.911 -1.447
1.500 -5.863 4.616
Nd Sm Mg Hg
1 1 1 1
Cartesian
1.285 -5.023 3.954 Nd
0.540 -2.110 1.661 Sm
-2.477 -0.838 1.140 Mg
-1.744 -3.702 3.395 Hg

x | NdSmMgHg (PBE, optimized geometry); SG = F-43m, No. 216; magnetic moment = 0.109 μB per atom
1.0
-4.748 2.617 0.034
-4.513 -2.551 -1.589
-3.795 -1.317 3.642
Mg Nd Hg Sm
1 1 1 1
Cartesian
-9.792 -0.938 1.565 Mg
0.000 0.000 0.000 Nd
-3.264 -0.313 0.522 Hg
-6.528 -0.626 1.044 Sm

Which of them is the most stable? Correct choice: w.

w | NdMgSnHg (PBE, optimized geometry); SG = F-43m, No. 216; magnetic moment = 0.000 μB per atom
1.0
-4.611 1.214 2.223
-2.412 -3.479 3.124
-0.275 0.867 5.182
Mg Nd Hg Sn
1 1 1 1
Cartesian
-3.649 -0.699 5.264 Mg
0.000 0.000 0.000 Nd
-5.474 -1.049 7.897 Hg
-1.825 -0.350 2.632 Sn

x | NdMgSnHg (PBE, optimized geometry); SG = Pmmm, No. 47; magnetic moment = 0.000 μB per atom
1.0
4.402 0.000 0.000
0.000 4.684 0.000
0.000 0.000 4.951
Nd Mg Sn Hg
1 1 1 1
Cartesian
2.201 0.000 2.476 Nd
2.201 2.342 0.000 Mg
0.000 2.342 2.476 Sn
0.000 0.000 0.000 Hg

Which of them is the most stable? Correct choice: x.

w | NdYMgHg (PBE, optimized geometry); SG = F-43m, No. 216; magnetic moment = 0.087 μB per atom
1.0
-0.270 -1.077 -5.269
0.192 -5.099 -1.719
-4.406 -2.317 -2.052
Y Mg Nd Hg
1 1 1 1
Cartesian
-3.363 -6.369 -6.780 Y
0.000 0.000 0.000 Mg
-1.121 -2.123 -2.260 Nd
-2.242 -4.246 -4.520 Hg

x | NdYMgHg (PBE, optimized geometry); SG = P4mm, No. 99; magnetic moment = 0.001 μB per atom
1.0
3.809 0.000 0.000
0.000 3.809 0.000
0.000 0.000 7.607
Nd Y Mg Hg
1 1 1 1
Cartesian
0.000 0.000 6.527 Nd
0.000 0.000 2.679 Y
1.905 1.905 4.528 Mg
1.905 1.905 0.931 Hg

Which of them is the most stable? Correct choice: x.

w | Mg3NiHg (PBE, optimized geometry); SG = Pm-3m, No. 221; magnetic moment = 0.000 μB per atom
1.0
4.848 0.000 0.000
0.000 4.848 0.000
0.000 0.000 4.848
Ni Mg Hg
1 3 1
Cartesian
0.000 0.000 0.000 Ni
0.000 2.424 0.000 Mg
0.000 0.000 2.424 Mg
2.424 0.000 0.000 Mg
2.424 2.424 2.424 Hg

x | Mg3NiHg (PBE, optimized geometry); SG = P2_1/m, No. 11; magnetic moment = 0.000 μB per atom
1.0
-3.267 1.325 1.097
-1.466 2.352 -7.209
-2.537 -6.911 0.795
Mg Ni Hg
6 2 2
Cartesian
-2.475 -0.525 -3.629 Mg
-4.795 -2.708 -1.688 Mg
-2.701 -4.248 0.195 Mg
-2.910 1.169 -0.757 Mg
-4.569 1.015 -5.512 Mg
-4.360 -4.402 -4.560 Mg
-3.471 1.948 -3.370 Ni
-3.799 -5.181 -1.947 Ni
-5.231 -1.582 -4.346 Hg
-2.039 -1.651 -0.970 Hg

Which of them is the most stable? Correct choice: x.